First-principles (PBE) data for a relaxed RbRhO2 crystal, as listed in Alexandria.

Calculated values
DOS at the Fermi energy = 2.33 states/eV/f.u.
energy relative to the elements, uncorrected = -80.10 kJ per mole of atoms
SG = C2/c
spin magnetization = 0.5 μB per formula unit

Unit cell a=18.0054 b=6.3170 c=6.3170 alpha=92.56 beta=116.90 gamma=63.10
Closest atoms and distances in Å follow each position.
Fractional coordinates of all 32 atoms:
Rh 0.3396 0.5523 0.0442  4 O 1.95-2.03
Rh 0.1604 0.5442 0.0523  4 O 1.95-2.03
Rh 0.6604 0.4477 0.9558  4 O 1.95-2.03
Rh 0.8396 0.4558 0.9477  4 O 1.95-2.03
Rh 0.3490 0.0230 0.0230  4 O 1.97-2.03
Rh 0.1510 0.5230 0.5230  4 O 1.97-2.03
Rh 0.6510 0.9770 0.9770  4 O 1.97-2.03
Rh 0.8490 0.4770 0.4770  4 O 1.97-2.03
O 0.0781 0.6933 0.6934  2 Rh 1.98-2.03
O 0.4219 0.1934 0.1933  2 Rh 1.98-2.03
O 0.9219 0.3067 0.3066  2 Rh 1.98-2.03
O 0.5781 0.8066 0.8067  2 Rh 1.98-2.03
O 0.7243 0.1304 0.1862  2 Rh 1.97-2.03
O 0.7757 0.6862 0.6304  2 Rh 1.97-2.03
O 0.2757 0.8696 0.8138  2 Rh 1.97-2.03
O 0.2243 0.3138 0.3696  2 Rh 1.97-2.03
O 0.4357 0.6632 0.1705  2 Rh 1.98-2.03
O 0.0643 0.6705 0.1632  2 Rh 1.98-2.03
O 0.5643 0.3368 0.8295  2 Rh 1.98-2.03
O 0.9357 0.3295 0.8368  2 Rh 1.98-2.03
O 0.7500 0.3299 0.8299  2 Rh 1.95
O 0.2500 0.6701 0.1701  2 Rh 1.95
O 0.7500 0.6242 0.1242  4 Rh 2.02-2.22
O 0.2500 0.3758 0.8758  4 Rh 2.02-2.22
Rb 0.1108 0.0651 0.2898  6 O 2.90-3.09, 2 Rb 3.16-3.20
Rb 0.3892 0.7898 0.5651  6 O 2.90-3.09, 2 Rb 3.16-3.20
Rb 0.8892 0.9349 0.7102  6 O 2.90-3.09, 2 Rb 3.16-3.20
Rb 0.6108 0.2102 0.4349  6 O 2.90-3.09, 2 Rb 3.16-3.20
Rb 0.4055 0.2687 0.6354  5 O 2.78-3.12
Rb 0.0945 0.1354 0.7687  5 O 2.78-3.12
Rb 0.5945 0.7313 0.3646  5 O 2.78-3.12
Rb 0.9055 0.8646 0.2313  5 O 2.78-3.12


First-principles (PBE) data for a relaxed RbRhO2 crystal, as listed in Alexandria.

Calculated values
DOS at the Fermi energy = 4.03 states/eV/f.u.
energy relative to the elements, uncorrected = -56.75 kJ per mole of atoms
SG = I4/mcm
spin magnetization = 0.5 μB per formula unit

Unit cell a=6.8069 b=6.8069 c=5.7729 alpha=53.87 beta=53.87 gamma=90.00
Closest atoms and distances in Å follow each position.
Fractional coordinates of all 8 atoms:
Rh 0.7500 0.2500 0.5000  4 O 2.00
Rh 0.2500 0.7500 0.5000  4 O 2.00
O 0.8740 0.3740 0.0000  2 Rh 2.00
O 0.1260 0.6260 0.0000  2 Rh 2.00
O 0.3740 0.1260 0.0000  2 Rh 2.00
O 0.6260 0.8740 0.0000  2 Rh 2.00
Rb 0.7500 0.7500 0.5000  8 O 3.12, 2 Rb 3.19, 4 Rh 3.40
Rb 0.2500 0.2500 0.5000  8 O 3.12, 2 Rb 3.19, 4 Rh 3.40


Q: Look up the DOS at the Fermi energy of the second one.
A: 4.03 states/eV/f.u.


Q: What is the formula in the second record?
A: RbRhO2